Entry 1:
{
  "formula": "LuAlCoCu",
  "functional": "PBE-GGA",
  "state": "relaxed",
  "final_energy_ha_per_atom": -0.1774,
  "magmom_total_mub_per_atom": 0.226,
  "polymorph_energy_mev_per_atom": 254.6,
  "lattice": [[-1.661, 3.301, 2.494], [0.866, 4.244, -1.055], [-3.240, 2.601, -1.616]],
  "species": ["Al", "Co", "Cu", "Lu"],
  "fractional_positions": [[0.000, 0.000, 0.000], [0.750, 0.750, 0.750], [0.500, 0.500, 0.500], [0.250, 0.250, 0.250]]
}

Entry 2:
{
  "formula": "Ag7Sb",
  "functional": "PBE-GGA",
  "state": "relaxed",
  "final_energy_ha_per_atom": -0.1079,
  "polymorph_energy_mev_per_atom": 2.3,
  "lattice": [[2.941, 0.000, 0.000], [0.000, 4.092, 0.000], [0.000, 0.000, 35.146]],
  "species": ["Ag", "Ag", "Ag", "Ag", "Ag", "Ag", "Ag", "Ag", "Ag", "Ag", "Ag", "Ag", "Ag", "Ag", "Sb", "Sb"],
  "fractional_positions": [[0.500, 0.500, 0.230], [0.000, 0.000, 0.273], [0.500, 0.500, 0.315], [0.000, 0.000, 0.356], [0.500, 0.500, 0.398], [0.000, 0.000, 0.438], [0.500, 0.500, 0.480], [0.000, 0.000, 0.520], [0.500, 0.500, 0.562], [0.000, 0.000, 0.602], [0.500, 0.500, 0.644], [0.000, 0.000, 0.685], [0.500, 0.500, 0.727], [0.000, 0.000, 0.770], [0.000, 0.000, 0.186], [0.500, 0.500, 0.814]]
}

Entry 3:
{
  "formula": "LuInFeAu",
  "functional": "PBE-GGA",
  "state": "relaxed",
  "final_energy_ha_per_atom": -0.1809,
  "magmom_total_mub_per_atom": 0.528,
  "polymorph_energy_mev_per_atom": 0.0,
  "lattice": [[0.000, 3.369, 3.369], [3.369, 0.000, 3.369], [3.369, 3.369, 0.000]],
  "species": ["Au", "Fe", "In", "Lu"],
  "fractional_positions": [[0.250, 0.250, 0.250], [0.750, 0.750, 0.750], [0.000, 0.000, 0.000], [0.500, 0.500, 0.500]]
}

Entry 4:
{
  "formula": "Nb4SnPbN2",
  "functional": "PBE-GGA",
  "state": "relaxed",
  "final_energy_ha_per_atom": -0.3141,
  "magmom_total_mub_per_atom": 0.000,
  "lattice": [[3.299, 0.000, 0.000], [-1.649, 2.857, 0.000], [0.000, 0.000, 13.748]],
  "species": ["N", "N", "Nb", "Nb", "Nb", "Nb", "Pb", "Sn"],
  "fractional_positions": [[0.333, 0.667, 0.252], [0.333, 0.667, 0.748], [0.667, 0.333, 0.174], [0.000, 0.000, 0.333], [0.000, 0.000, 0.667], [0.667, 0.333, 0.826], [0.000, 0.000, 0.000], [0.667, 0.333, 0.500]]
}

Entry 5:
{
  "formula": "Zn2GaAg",
  "functional": "PBE-GGA",
  "state": "relaxed",
  "final_energy_ha_per_atom": -0.0740,
  "lattice": [[-1.839, -4.176, 0.104], [-4.499, -0.498, 0.583], [-2.605, -1.433, -3.463]],
  "species": ["Ag", "Ga", "Zn", "Zn"],
  "fractional_positions": [[0.250, 0.250, 0.250], [0.500, 0.500, 0.500], [0.000, 0.000, 0.000], [0.750, 0.750, 0.750]]
}

Entry 6:
{
  "formula": "Rb2CuSnBr6",
  "functional": "PBE-GGA",
  "state": "relaxed",
  "final_energy_ha_per_atom": -0.1108,
  "lattice": [[0.000, 5.461, 5.461], [5.461, 0.000, 5.461], [5.461, 5.461, 0.000]],
  "species": ["Br", "Br", "Br", "Br", "Br", "Br", "Cu", "Rb", "Rb", "Sn"],
  "fractional_positions": [[0.759, 0.241, 0.241], [0.241, 0.759, 0.241], [0.759, 0.759, 0.241], [0.241, 0.241, 0.759], [0.759, 0.241, 0.759], [0.241, 0.759, 0.759], [0.000, 0.000, 0.000], [0.250, 0.250, 0.250], [0.750, 0.750, 0.750], [0.500, 0.500, 0.500]]
}

Entry 7:
{
  "formula": "HfSiOs",
  "functional": "PBE-GGA",
  "state": "relaxed",
  "final_energy_ha_per_atom": -0.3300,
  "magmom_total_mub_per_atom": 0.099,
  "lattice": [[4.038, -1.202, 0.014], [1.232, -3.216, 2.427], [1.114, -3.662, -1.760]],
  "species": ["Hf", "Os", "Si"],
  "fractional_positions": [[0.250, 0.250, 0.250], [0.750, 0.750, 0.750], [0.000, 0.000, 0.000]]
}

Entry 8:
{
  "formula": "Sc4CuC3",
  "functional": "PBE-GGA",
  "state": "relaxed",
  "final_energy_ha_per_atom": -0.2712,
  "magmom_total_mub_per_atom": 0.000,
  "lattice": [[3.321, 0.000, 0.000], [-1.661, 2.876, 0.000], [0.000, 0.000, 24.436]],
  "species": ["C", "C", "C", "C", "C", "C", "Cu", "Cu", "Sc", "Sc", "Sc", "Sc", "Sc", "Sc", "Sc", "Sc"],
  "fractional_positions": [[0.000, 0.000, 0.000], [0.667, 0.333, 0.116], [0.667, 0.333, 0.384], [0.000, 0.000, 0.500], [0.333, 0.667, 0.616], [0.333, 0.667, 0.884], [0.333, 0.667, 0.250], [0.667, 0.333, 0.750], [0.333, 0.667, 0.056], [0.000, 0.000, 0.160], [0.000, 0.000, 0.340], [0.333, 0.667, 0.444], [0.667, 0.333, 0.556], [0.000, 0.000, 0.660], [0.000, 0.000, 0.840], [0.667, 0.333, 0.944]]
}

Entry 9:
{
  "formula": "NaHg3OsO4",
  "functional": "PBE-GGA",
  "state": "relaxed",
  "final_energy_ha_per_atom": -0.1315,
  "magmom_total_mub_per_atom": 0.550,
  "lattice": [[5.591, 0.000, 0.000], [0.000, 5.591, 0.000], [0.000, 0.000, 5.591]],
  "species": ["Hg", "Hg", "Hg", "Na", "O", "O", "O", "O", "Os"],
  "fractional_positions": [[0.500, 0.500, 0.000], [0.500, 0.000, 0.500], [0.000, 0.500, 0.500], [0.000, 0.000, 0.000], [0.267, 0.267, 0.267], [0.733, 0.733, 0.267], [0.733, 0.267, 0.733], [0.267, 0.733, 0.733], [0.500, 0.500, 0.500]]
}